Version A
First-principles (GGA-PBEsol) data for an optimized crystal structure of Sr2BiSb2, as listed in Alexandria.

Properties
Total magnetic moment, μB per atom: 0.000
Calculated volume, Å³ per atom: 32.5

a b c (Å): 8.3995 8.3995 4.6116
angles (deg): 90.00 90.00 90.00
Closest atoms and distances in Å follow each position.
Space group P4/mbm (No. 127)
Asymmetric unit:
Sr (0.1643, 0.3357, 0.0000)  6 Sb 3.29-3.44
Bi (0.0000, 0.0000, 0.5000)  4 Sb 3.25
Sb (0.1382, 0.6382, 0.5000)  2 Bi 3.25, 1 Sb 3.28, 6 Sr 3.29-3.44



Version B
First-principles (GGA-PBEsol) data for an optimized crystal structure of Sr2BiSb2, as listed in Alexandria.

Properties
Total magnetic moment, μB per atom: 0.000
Calculated volume, Å³ per atom: 32.1

a b c (Å): 9.3829 9.3829 3.6502
angles (deg): 90.00 90.00 90.00
Closest atoms and distances in Å follow each position.
Space group P4/mbm (No. 127)
Asymmetric unit:
Sr (0.1345, 0.3655, 0.0000)  6 Sb 3.18-3.40
Bi (0.0000, 0.0000, 0.0000)  2 Bi 3.65, 4 Sr 3.65, 8 Sb 3.94
Sb (0.1690, 0.6690, 0.5000)  6 Sr 3.18-3.40



In order of decreasing stability: version A, version B.



Version A
First-principles (GGA-PBEsol) data for an optimized crystal structure of BiTeSe2, as listed in Alexandria.

Properties
Total magnetic moment, μB per atom: 0.000
Calculated volume, Å³ per atom: 28.3

a b c (Å): 3.6933 3.6933 28.7377
angles (deg): 90.00 90.00 120.00
Closest atoms and distances in Å follow each position.
Space group R-3m (No. 166, hexagonal axes)
Asymmetric unit:
Bi (0.0000, 0.0000, 0.0000)  2 Se 2.88
Te (0.0000, 0.0000, 0.5000)  6 Se 2.86
Se (0.0000, 0.0000, 0.1001)  3 Te 2.86, 1 Bi 2.88



Version B
First-principles (GGA-PBEsol) data for an optimized crystal structure of BiTeSe2, as listed in Alexandria.

Properties
Total magnetic moment, μB per atom: 0.000
Calculated volume, Å³ per atom: 30.7

a b c (Å): 3.9659 3.9659 27.0624
angles (deg): 90.00 90.00 120.00
Closest atoms and distances in Å follow each position.
Space group R-3m (No. 166, hexagonal axes)
Asymmetric unit:
Bi (0.0000, 0.0000, 0.0000)  6 Se 2.92
Te (0.0000, 0.0000, 0.5000)  2 Se 2.70
Se (0.0000, 0.0000, 0.4002)  1 Te 2.70, 3 Bi 2.92



In order of decreasing stability: version B, version A.



Version A
First-principles (GGA-PBEsol) data for an optimized crystal structure of YSi2Bi2, as listed in Alexandria.

Properties
Total magnetic moment, μB per atom: 0.000
Calculated volume, Å³ per atom: 24.2

a b c (Å): 3.4984 3.4984 19.7426
angles (deg): 90.00 90.00 90.00
Closest atoms and distances in Å follow each position.
Space group I4/mmm (No. 139)
Asymmetric unit:
Y (0.0000, 0.0000, 0.0000)  8 Bi 3.34, 4 Y 3.50
Si (0.0000, 0.5000, 0.2500)  4 Si 2.47
Bi (0.0000, 0.0000, 0.3866)  4 Si 3.21, 4 Y 3.34, 4 Bi 3.50



Version B
First-principles (GGA-PBEsol) data for an optimized crystal structure of YSi2Bi2, as listed in Alexandria.

Properties
Total magnetic moment, μB per atom: 0.000
Calculated volume, Å³ per atom: 23.6

a b c (Å): 7.4154 7.4154 4.2919
angles (deg): 90.00 90.00 90.00
Closest atoms and distances in Å follow each position.
Space group P4/mbm (No. 127)
Asymmetric unit:
Y (0.0000, 0.0000, 0.0000)  4 Si 2.98
Si (0.1157, 0.3843, 0.0000)  1 Si 2.43
Bi (0.1861, 0.6861, 0.5000)  6 Si 2.99-3.14



In order of decreasing stability: version B, version A.



Version A
First-principles (GGA-PBEsol) data for an optimized crystal structure of SrSn3Bi, as listed in Alexandria.

Properties
Total magnetic moment, μB per atom: 0.000
Calculated volume, Å³ per atom: 38.5

a b c (Å): 5.7751 5.7751 5.7751
angles (deg): 90.00 90.00 90.00
Closest atoms and distances in Å follow each position.
Space group Pm-3m (No. 221)
Asymmetric unit:
Sr (0.0000, 0.0000, 0.0000)  12 Sn 4.08
Sn (0.0000, 0.5000, 0.5000)  2 Bi 2.89
Bi (0.5000, 0.5000, 0.5000)  6 Sn 2.89



Version B
First-principles (GGA-PBEsol) data for an optimized crystal structure of SrSn3Bi, as listed in Alexandria.

Properties
Total magnetic moment, μB per atom: 0.000
Calculated volume, Å³ per atom: 38.8

a b c (Å): 5.7905 5.7905 5.7905
angles (deg): 90.00 90.00 90.00
Closest atoms and distances in Å follow each position.
Space group Pm-3m (No. 221)
Asymmetric unit:
Sr (0.0000, 0.0000, 0.0000)  6 Sn 2.90
Sn (0.0000, 0.0000, 0.5000)  2 Sr 2.90
Bi (0.5000, 0.5000, 0.5000)  12 Sn 4.09



In order of decreasing stability: version A, version B.



Version A
First-principles (GGA-PBEsol) data for an optimized crystal structure of Tb5Bi3, as listed in Alexandria.

Properties
Total magnetic moment, μB per atom: 0.000
Calculated volume, Å³ per atom: 28.0

a b c (Å): 9.0799 9.0799 6.2809
angles (deg): 90.00 90.00 120.00
Closest atoms and distances in Å follow each position.
Space group P6_3/mcm (No. 193)
Asymmetric unit:
Tb (0.0000, 0.2443, 0.2500)  5 Bi 3.09-3.41
Tb (0.3333, 0.6667, 0.0000)  2 Tb 3.14, 6 Bi 3.22
Bi (0.0000, 0.3894, 0.7500)  9 Tb 3.09-3.41



Version B
First-principles (GGA-PBEsol) data for an optimized crystal structure of Tb5Bi3, as listed in Alexandria.

Properties
Total magnetic moment, μB per atom: 0.000
Calculated volume, Å³ per atom: 28.6

a b c (Å): 11.8949 9.4264 8.1641
angles (deg): 90.00 90.00 90.00
Closest atoms and distances in Å follow each position.
Space group Pnma (No. 62)
Asymmetric unit:
Tb (0.0039, 0.2500, 0.0202)  5 Bi 3.12-3.20, 2 Tb 3.31
Tb (0.0633, 0.0604, 0.6898)  4 Bi 3.04-3.39, 1 Tb 3.31
Tb (0.2112, 0.7500, 0.3397)  5 Bi 3.04-3.32
Tb (0.2274, 0.2500, 0.3279)  6 Bi 3.10-3.45
Bi (0.0287, 0.7500, 0.6001)  7 Tb 3.04-3.16
Bi (0.1751, 0.5072, 0.0634)  9 Tb 3.19-3.51



In order of decreasing stability: version A, version B.



Version A
First-principles (GGA-PBEsol) data for an optimized crystal structure of ZnTcBi3, as listed in Alexandria.

Properties
Total magnetic moment, μB per atom: 0.615
Calculated volume, Å³ per atom: 28.3

a b c (Å): 5.2140 5.2140 5.2140
angles (deg): 90.00 90.00 90.00
Closest atoms and distances in Å follow each position.
Space group Pm-3m (No. 221)
Asymmetric unit:
Zn (0.0000, 0.0000, 0.0000)  6 Bi 2.61
Tc (0.5000, 0.5000, 0.5000)  12 Bi 3.69
Bi (0.0000, 0.0000, 0.5000)  2 Zn 2.61



Version B
First-principles (GGA-PBEsol) data for an optimized crystal structure of ZnTcBi3, as listed in Alexandria.

Properties
Total magnetic moment, μB per atom: 0.000
Calculated volume, Å³ per atom: 28.8

a b c (Å): 5.2422 5.2422 5.2422
angles (deg): 90.00 90.00 90.00
Closest atoms and distances in Å follow each position.
Space group Pm-3m (No. 221)
Asymmetric unit:
Zn (0.0000, 0.0000, 0.0000)  12 Bi 3.71
Tc (0.5000, 0.5000, 0.5000)  6 Bi 2.62
Bi (0.0000, 0.5000, 0.5000)  2 Tc 2.62



In order of decreasing stability: version B, version A.